Here is a geometry-optimized CaAlCu2 structure from Alexandria via LeMat-Bulk. Energies are from PBE-GGA.

a = 4.943 Å, b = 4.943 Å, c = 4.943 Å
α = 129.33°, β = 129.33°, γ = 74.47°
Positions (direct):
Ca (0.750, 0.250, 0.500)
Al (0.500, 0.500, 0.000)
Cu (0.000, 0.000, 0.000)
Cu (0.250, 0.750, 0.500)

The formation energy from the elements comes out at 0.0606 eV per atom. The calculation puts the total energy at -0.1258 hartree per atom.